CuPb2Se GGA-PBE optimized geometry; M_tot = 0.000 μB per atom; DFT total energy = -3.68 eV per atom; uncorrected formation energy = 0.069 eV per atom; DOS(E_F) = 1.64 states/eV/f.u.
1.0
-0.394 1.073 -3.469
0.440 -3.625 -0.074
-7.762 -0.955 0.586
Pb Se Cu
2 1 1
direct
0.500 0.500 0.286
0.000 0.000 0.945
0.000 0.000 0.560
0.500 0.500 0.709